Entry 1:
Sm2InNi4As3 after structural relaxation, computed with PBE-GGA.

Lattice parameters (Å, degrees): 4.111 4.111 10.209 90.00 90.00 90.00
Positions (direct):
Sm 0.500 0.000 0.231
Ni 0.000 0.000 0.000
Ni 0.500 0.500 0.000
Ni 0.000 0.500 0.354
In 0.500 0.500 0.500
As 0.000 0.000 0.500
As 0.000 0.500 0.127
Ni 0.500 0.000 0.646
As 0.500 0.000 0.873
Sm 0.000 0.500 0.769

Results
**Space-group type**: P-4m2, No. 115



Entry 2:
In2Ni7SnAs2 after structural relaxation, computed with PBE-GGA.

Lattice parameters (Å, degrees): 3.689 3.689 13.804 86.17 86.17 89.86
Positions (direct):
Ni 0.464 0.961 0.140
Ni 0.608 0.608 0.585
Sn 0.000 0.000 0.000
Ni 0.039 0.536 0.860
Ni 0.961 0.464 0.140
In 0.112 0.112 0.599
In 0.888 0.888 0.401
Ni 0.500 0.500 0.000
Ni 0.392 0.392 0.415
Ni 0.536 0.039 0.860
As 0.434 0.434 0.245
As 0.566 0.566 0.755

Results
**Space-group type**: C2/m, No. 12



Entry 3:
Sr2InNi4As3 after structural relaxation, computed with PBE-GGA.

Lattice parameters (Å, degrees): 4.262 4.262 10.102 90.00 90.00 90.00
Positions (direct):
Ni 0.500 0.500 0.000
In 0.500 0.500 0.500
As 0.000 0.000 0.500
Ni 0.500 0.000 0.641
Sr 0.500 0.000 0.238
Sr 0.000 0.500 0.762
As 0.000 0.500 0.121
As 0.500 0.000 0.879
Ni 0.000 0.000 0.000
Ni 0.000 0.500 0.359

Results
**Space-group type**: P-4m2, No. 115



Entry 4:
UIn2Ni7As2 after structural relaxation, computed with PBE-GGA.

Lattice parameters (Å, degrees): 3.760 3.760 13.771 86.31 86.31 89.83
Positions (direct):
Ni 0.960 0.462 0.139
In 0.115 0.115 0.598
U 0.000 0.000 0.000
Ni 0.500 0.500 0.000
Ni 0.538 0.040 0.861
Ni 0.391 0.391 0.417
Ni 0.609 0.609 0.583
Ni 0.040 0.538 0.861
As 0.567 0.567 0.753
Ni 0.462 0.960 0.139
As 0.433 0.433 0.247
In 0.885 0.885 0.402

Results
**Space-group type**: C2/m, No. 12



Entry 5:
UInNi2As2 after structural relaxation, computed with PBE-GGA.

Lattice parameters (Å, degrees): 3.978 3.978 7.936 90.00 90.00 120.00
Positions (direct):
As 0.667 0.333 0.284
As 0.333 0.667 0.716
Ni 0.333 0.667 0.210
In 0.000 0.000 0.000
Ni 0.667 0.333 0.790
U 0.000 0.000 0.500

Results
**Space-group type**: P-3m1, No. 164



Entry 6:
NpInAs2 after structural relaxation, computed with PBE-GGA.

Lattice parameters (Å, degrees): 3.767 4.727 4.727 90.00 90.00 90.00
Positions (direct):
Np 0.500 0.000 0.000
In 0.500 0.500 0.500
As 0.000 0.500 0.000
As 0.000 0.000 0.500

Results
**E above lowest polymorph**: 0.00 eV per formula unit
**Space-group type**: P4/mmm, No. 123



The following N(E_F) values (in states/eV/atom) correspond, in order, to the records above: 0.510; 0.538; 0.634; 0.928; 1.456; 2.375.
The following DFT total energy values (in eV per formula unit) correspond, in order, to the records above: -56.39; -60.93; -48.65; -67.70; -36.93; -26.37.
The following formation enthalpy at 0 K values (in eV per atom) correspond, in order, to the records above: -0.714; -0.140; -0.547; -0.097; -0.340; -0.348.